Compound: TcHPb2
Source: Alexandria via LeMat-Bulk
Functional: PBE
Structure: relaxed

```
TcHPb2
1.0
-1.9962 -0.3366 4.3682
-3.5194 -3.1866 0.7993
0.8346 -3.8725 2.7362
Pb H Tc
2 1 1
direct
0.7500 0.7500 0.7500
0.2500 0.2500 0.2500
0.0000 0.0000 0.0000
0.5000 0.5000 0.5000
```

Values from the calculation:
* VASP energy: -4.33 eV per atom
* energy above the most stable polymorph in this dataset: 157.5 meV/atom
* size of the total moment: 2.064 μB/f.u.
* SG: Fm-3m (225)